No. 1
VASP calculation (PBE-GGA) on Ti3As2C after structural relaxation.

**DOS at the Fermi energy**: 0.58 states/eV/atom
**Formation enthalpy at 0 K**: -3.618 eV/f.u.

Unit cell a=9.7225 b=7.1127 c=5.4074 alpha=90.00 beta=90.00 gamma=90.00
Closest atoms and distances in Å follow each position.
Space group Cmcm (No. 63)
Symmetry-distinct sites (fractional):
Ti  0.0000  0.1413  0.2500 [4 per cell]  1 C 2.02
Ti  0.1527  0.5000  0.0000 [8 per cell]  2 C 2.08
As  0.1479  0.1759  0.7500 [8 per cell]  5 Ti 2.67-2.68, 1 As 2.88
C  0.0000  0.4256  0.2500 [4 per cell]  5 Ti 2.02-2.08

---

No. 2
VASP calculation (PBE-GGA) on Ti6As2C after structural relaxation.

**DOS at the Fermi energy**: 0.86 states/eV/atom
**Formation enthalpy at 0 K**: -3.767 eV/f.u.

Unit cell a=5.4702 b=5.4702 c=10.6707 alpha=90.00 beta=90.00 gamma=90.00
Closest atoms and distances in Å follow each position.
Space group P4_2/mnm (No. 136)
Symmetry-distinct sites (fractional):
Ti  0.1875  0.1875  0.1392 [8 per cell]  1 C 2.08
Ti  0.2256  0.2256  0.5000 [4 per cell]  1 C 2.12
As  0.0000  0.0000  0.3293 [4 per cell]  6 Ti 2.44-2.52
C  0.0000  0.0000  0.0000 [2 per cell]  6 Ti 2.08-2.12

---

No. 3
VASP calculation (PBE-GGA) on Ti5As2C after structural relaxation.

**DOS at the Fermi energy**: 0.93 states/eV/atom
**Formation enthalpy at 0 K**: -2.787 eV/f.u.

Unit cell a=4.4616 b=12.6868 c=10.6928 alpha=90.00 beta=90.00 gamma=90.00
Closest atoms and distances in Å follow each position.
Space group Cmcm (No. 63)
Symmetry-distinct sites (fractional):
Ti  0.0000  0.0741  0.1268 [8 per cell]  1 C 2.09
Ti  0.0000  0.2875  0.0760 [8 per cell]  1 C 2.16
Ti  0.0000  0.2884  0.7500 [4 per cell]  2 C 2.23
As  0.0000  0.1296  0.5974 [8 per cell]  6 Ti 2.48-2.73
C  0.0000  0.2015  0.2500 [4 per cell]  6 Ti 2.09-2.23

---

No. 4
VASP calculation (PBE-GGA) on Ti3AsC after structural relaxation.

**DOS at the Fermi energy**: 0.73 states/eV/atom
**Formation enthalpy at 0 K**: -3.075 eV/f.u.

Unit cell a=4.3025 b=4.0392 c=8.3043 alpha=90.00 beta=90.00 gamma=90.00
Closest atoms and distances in Å follow each position.
Space group Pmma (No. 51)
Symmetry-distinct sites (fractional):
Ti  0.2500  0.0000  0.1073 [2 per cell]  1 C 2.13
Ti  0.2500  0.0000  0.6209 [2 per cell]  3 C 2.14-2.16
Ti  0.2500  0.5000  0.3638 [2 per cell]  2 C 2.02
As  0.2500  0.5000  0.8569 [2 per cell]  10 Ti 2.81-2.97
C  0.2500  0.0000  0.3636 [2 per cell]  6 Ti 2.02-2.16

---

No. 5
VASP calculation (PBE-GGA) on Ti6As3C after structural relaxation.

**DOS at the Fermi energy**: 0.64 states/eV/atom
**Formation enthalpy at 0 K**: -6.409 eV/f.u.

Unit cell a=10.2943 b=5.6113 c=6.6954 alpha=90.00 beta=122.33 gamma=90.00
Closest atoms and distances in Å follow each position.
Space group C2/m (No. 12)
Symmetry-distinct sites (fractional):
Ti  0.0818  0.2418  0.3549 [8 per cell]  1 C 2.09
Ti  0.2170  0.0000  0.8223 [4 per cell]  1 C 2.12
As  0.0000  0.5000  0.0000 [2 per cell]  6 Ti 2.49-2.51
As  0.2277  0.5000  0.7466 [4 per cell]  7 Ti 2.63-2.86
C  0.0000  0.0000  0.5000 [2 per cell]  6 Ti 2.09-2.12

---

No. 6
VASP calculation (PBE-GGA) on TiAsC3 after structural relaxation.

**DOS at the Fermi energy**: 0.55 states/eV/atom
**Formation enthalpy at 0 K**: 10.401 eV/f.u.

Unit cell a=4.0642 b=4.0642 c=4.0642 alpha=90.00 beta=90.00 gamma=90.00
Closest atoms and distances in Å follow each position.
Space group Pm-3m (No. 221)
Symmetry-distinct sites (fractional):
Ti  0.0000  0.0000  0.0000 [1 per cell]  6 C 2.03
As  0.5000  0.5000  0.5000 [1 per cell]  12 C 2.87
C  0.0000  0.0000  0.5000 [3 per cell]  2 Ti 2.03

---

No. 7
VASP calculation (PBE-GGA) on TiAsWC2 after structural relaxation.

**DOS at the Fermi energy**: 0.95 states/eV/atom
**Formation enthalpy at 0 K**: 9.666 eV/f.u.

Unit cell a=3.9151 b=3.9151 c=5.1693 alpha=90.00 beta=90.00 gamma=90.00
Closest atoms and distances in Å follow each position.
Space group P4/mmm (No. 123)
Symmetry-distinct sites (fractional):
Ti  0.0000  0.0000  0.0000 [1 per cell]  4 C 1.96
As  0.5000  0.5000  0.5000 [1 per cell]  4 W 2.77
W  0.0000  0.0000  0.5000 [1 per cell]  2 Ti 2.58, 4 As 2.77
C  0.0000  0.5000  0.0000 [2 per cell]  2 Ti 1.96

---

No. 8
VASP calculation (PBE-GGA) on TiZnAs2C after structural relaxation.

**DOS at the Fermi energy**: 1.00 states/eV/atom
**Formation enthalpy at 0 K**: 7.763 eV/f.u.

Unit cell a=4.8115 b=4.8115 c=5.1395 alpha=90.00 beta=90.00 gamma=90.00
Closest atoms and distances in Å follow each position.
Space group P4/mmm (No. 123)
Symmetry-distinct sites (fractional):
Ti  0.0000  0.0000  0.0000 [1 per cell]  4 As 2.41, 2 Zn 2.57
Zn  0.0000  0.0000  0.5000 [1 per cell]  2 Ti 2.57
As  0.0000  0.5000  0.0000 [2 per cell]  2 Ti 2.41
C  0.5000  0.5000  0.5000 [1 per cell]  4 Zn 3.40, 8 As 3.52

---

No. 9
VASP calculation (PBE-GGA) on TlAs3C after structural relaxation.

**DOS at the Fermi energy**: 0.62 states/eV/atom
**Excess energy over the best structure of this formula in the dataset**: 0.000 eV per atom
**Formation enthalpy at 0 K**: 5.144 eV/f.u.

Unit cell a=4.5591 b=4.5591 c=4.5591 alpha=90.00 beta=90.00 gamma=90.00
Closest atoms and distances in Å follow each position.
Space group Pm-3m (No. 221)
Symmetry-distinct sites (fractional):
Tl  0.0000  0.0000  0.0000 [1 per cell]  12 As 3.22
As  0.0000  0.5000  0.5000 [3 per cell]  2 C 2.28
C  0.5000  0.5000  0.5000 [1 per cell]  6 As 2.28

---

No. 10
VASP calculation (PBE-GGA) on Tl2AsC after structural relaxation.

**DOS at the Fermi energy**: 0.68 states/eV/atom
**Excess energy over the best structure of this formula in the dataset**: 0.495 eV per atom
**Formation enthalpy at 0 K**: 6.074 eV/f.u.

Unit cell a=6.9947 b=6.9947 c=6.9947 alpha=90.00 beta=90.00 gamma=90.00
Closest atoms and distances in Å follow each position.
Space group Fm-3m (No. 225)
Symmetry-distinct sites (fractional):
Tl  0.2500  0.2500  0.2500 [8 per cell]  4 As 3.03, 4 C 3.03
As  0.0000  0.0000  0.0000 [4 per cell]  8 Tl 3.03
C  0.0000  0.0000  0.5000 [4 per cell]  8 Tl 3.03

---

No. 11
VASP calculation (PBE-GGA) on Tl2AsC after structural relaxation.

**DOS at the Fermi energy**: 0.68 states/eV/atom
**Excess energy over the best structure of this formula in the dataset**: 0.000 eV per atom
**Formation enthalpy at 0 K**: 4.096 eV/f.u.

Unit cell a=5.9401 b=5.9401 c=11.1119 alpha=90.00 beta=90.00 gamma=90.00
Closest atoms and distances in Å follow each position.
Space group I-42d (No. 122)
Symmetry-distinct sites (fractional):
Tl  0.1798  0.2500  0.1250 [8 per cell]  2 C 2.30
As  0.0000  0.0000  0.5000 [4 per cell]  4 Tl 2.78
C  0.0000  0.0000  0.0000 [4 per cell]  4 Tl 2.30

---

No. 12
VASP calculation (PBE-GGA) on TlAsC3 after structural relaxation.

**DOS at the Fermi energy**: 0.83 states/eV/atom
**Excess energy over the best structure of this formula in the dataset**: 0.000 eV per atom
**Formation enthalpy at 0 K**: 12.954 eV/f.u.

Unit cell a=4.0665 b=4.0665 c=4.0665 alpha=90.00 beta=90.00 gamma=90.00
Closest atoms and distances in Å follow each position.
Space group Pm-3m (No. 221)
Symmetry-distinct sites (fractional):
Tl  0.0000  0.0000  0.0000 [1 per cell]  12 C 2.88
As  0.5000  0.5000  0.5000 [1 per cell]  6 C 2.03
C  0.0000  0.5000  0.5000 [3 per cell]  2 As 2.03

---

No. 13
VASP calculation (PBE-GGA) on TlAs3C after structural relaxation.

**DOS at the Fermi energy**: 0.71 states/eV/atom
**Excess energy over the best structure of this formula in the dataset**: 1.456 eV per atom
**Formation enthalpy at 0 K**: 12.422 eV/f.u.

Unit cell a=5.3790 b=5.3790 c=5.3790 alpha=90.00 beta=90.00 gamma=90.00
Closest atoms and distances in Å follow each position.
Space group Pm-3m (No. 221)
Symmetry-distinct sites (fractional):
Tl  0.0000  0.0000  0.0000 [1 per cell]  6 As 2.69
As  0.0000  0.0000  0.5000 [3 per cell]  2 Tl 2.69
C  0.5000  0.5000  0.5000 [1 per cell]  12 As 3.80

---

No. 14
VASP calculation (PBE-GGA) on TlAsC3 after structural relaxation.

**DOS at the Fermi energy**: 0.62 states/eV/atom
**Excess energy over the best structure of this formula in the dataset**: 0.977 eV per atom
**Formation enthalpy at 0 K**: 17.839 eV/f.u.

Unit cell a=4.4125 b=4.4125 c=4.4125 alpha=90.00 beta=90.00 gamma=90.00
Closest atoms and distances in Å follow each position.
Space group Pm-3m (No. 221)
Symmetry-distinct sites (fractional):
Tl  0.0000  0.0000  0.0000 [1 per cell]  6 C 2.21
As  0.5000  0.5000  0.5000 [1 per cell]  12 C 3.12
C  0.0000  0.0000  0.5000 [3 per cell]  2 Tl 2.21

---

No. 15
VASP calculation (PBE-GGA) on Tm8As2C3 after structural relaxation.

**DOS at the Fermi energy**: 0.84 states/eV/atom
**Formation enthalpy at 0 K**: -7.772 eV/f.u.

Unit cell a=13.8879 b=7.1508 c=6.2637 alpha=90.00 beta=107.57 gamma=90.00
Closest atoms and distances in Å follow each position.
Space group C2/m (No. 12)
Symmetry-distinct sites (fractional):
Tm  0.0970  0.0000  0.4012 [4 per cell]  3 C 2.45-2.47
Tm  0.0984  0.5000  0.4079 [4 per cell]  2 C 2.40
Tm  0.1010  0.2393  0.8949 [8 per cell]  2 C 2.43-2.45
As  0.2456  0.5000  0.1758 [4 per cell]  6 Tm 2.84-2.91
C  0.0000  0.0000  0.0000 [2 per cell]  6 Tm 2.43-2.47
C  0.0000  0.2544  0.5000 [4 per cell]  6 Tm 2.40-2.45

---

No. 16
VASP calculation (PBE-GGA) on Tm4AsC after structural relaxation.

**DOS at the Fermi energy**: 0.93 states/eV/atom
**Formation enthalpy at 0 K**: -3.470 eV/f.u.

Unit cell a=7.7067 b=14.3825 c=6.3344 alpha=90.00 beta=123.84 gamma=90.00
Closest atoms and distances in Å follow each position.
Space group C2/c (No. 15)
Symmetry-distinct sites (fractional):
Tm  0.1888  0.1906  0.2109 [8 per cell]  1 C 2.43
Tm  0.2198  0.0553  0.7142 [8 per cell]  2 C 2.45-2.50
As  0.0000  0.4180  0.7500 [4 per cell]  6 Tm 2.76-2.86
C  0.0000  0.0636  0.2500 [4 per cell]  6 Tm 2.43-2.50

---

No. 17
VASP calculation (PBE-GGA) on Tm4AsC2 after structural relaxation.

**DOS at the Fermi energy**: 0.29 states/eV/atom
**Excess energy over the best structure of this formula in the dataset**: 0.000 eV per atom
**Formation enthalpy at 0 K**: -4.881 eV/f.u.

Unit cell a=3.7143 b=11.9167 c=12.2352 alpha=90.00 beta=90.00 gamma=90.00
Closest atoms and distances in Å follow each position.
Space group Cmcm (No. 63)
Symmetry-distinct sites (fractional):
Tm  0.0000  0.0000  0.0000 [4 per cell]  4 C 2.57
Tm  0.0000  0.2641  0.1072 [8 per cell]  3 C 2.37-2.48
Tm  0.0000  0.4341  0.7500 [4 per cell]  2 C 2.47
As  0.0000  0.1111  0.7500 [4 per cell]  6 Tm 2.81-2.95
C  0.0000  0.3646  0.5602 [8 per cell]  6 Tm 2.37-2.57

---

No. 18
VASP calculation (PBE-GGA) on Tm5As2C2 after structural relaxation.

**DOS at the Fermi energy**: 0.55 states/eV/atom
**Formation enthalpy at 0 K**: -6.503 eV/f.u.

Unit cell a=17.0587 b=7.1673 c=6.4379 alpha=90.00 beta=90.00 gamma=90.00
Closest atoms and distances in Å follow each position.
Space group Ima2 (No. 46)
Symmetry-distinct sites (fractional):
Tm  0.0218  0.2443  0.0000 [8 per cell]  2 C 2.39-2.48
Tm  0.1406  0.5761  0.7749 [8 per cell]  2 C 2.28-2.47
Tm  0.2500  0.1243  0.8249 [4 per cell]  2 C 2.28-2.30
As  0.1044  0.5427  0.2303 [8 per cell]  7 Tm 2.82-3.12
C  0.0000  0.0000  0.2465 [4 per cell]  6 Tm 2.39-2.48
C  0.2500  0.0850  0.1802 [4 per cell]  4 Tm 2.28-2.30

---

No. 19
VASP calculation (PBE-GGA) on Tm4AsC2 after structural relaxation.

**DOS at the Fermi energy**: 0.36 states/eV/atom
**Excess energy over the best structure of this formula in the dataset**: 0.106 eV per atom
**Formation enthalpy at 0 K**: -4.138 eV/f.u.

Unit cell a=8.2141 b=8.2141 c=8.5082 alpha=90.00 beta=90.00 gamma=90.00
Closest atoms and distances in Å follow each position.
Space group I4_1/amd (No. 141, origin choice 2)
Symmetry-distinct sites (fractional):
Tm  0.0000  0.0654  0.2297 [16 per cell]  3 C 2.36-2.56
As  0.0000  0.2500  0.8750 [4 per cell]  4 Tm 2.74
C  0.0000  0.0000  0.5000 [8 per cell]  6 Tm 2.36-2.56

---

No. 20
VASP calculation (PBE-GGA) on Tm2AsC after structural relaxation.

**DOS at the Fermi energy**: 0.48 states/eV/atom
**Formation enthalpy at 0 K**: 1.125 eV/f.u.

Unit cell a=4.3234 b=4.3234 c=21.6020 alpha=90.00 beta=90.00 gamma=120.00
Closest atoms and distances in Å follow each position.
Space group R-3m (No. 166, hexagonal axes)
Symmetry-distinct sites (fractional):
Tm  0.0000  0.0000  0.1001 [6 per cell]  1 C 2.16
As  0.0000  0.0000  0.5000 [3 per cell]  6 Tm 2.88
C  0.0000  0.0000  0.0000 [3 per cell]  2 Tm 2.16

---

No. 21
VASP calculation (PBE-GGA) on Tm6AsC2 after structural relaxation.

**DOS at the Fermi energy**: 0.71 states/eV/atom
**Formation enthalpy at 0 K**: -3.784 eV/f.u.

Unit cell a=12.4819 b=4.7909 c=8.3622 alpha=90.00 beta=123.05 gamma=90.00
Closest atoms and distances in Å follow each position.
Space group C2/m (No. 12)
Symmetry-distinct sites (fractional):
Tm  0.0335  0.0000  0.2027 [4 per cell]  2 C 2.46-2.47, 1 As 2.74
Tm  0.1565  0.5000  0.5827 [4 per cell]  1 C 2.34
Tm  0.1919  0.5000  0.0703 [4 per cell]  3 C 2.41-2.59
As  0.0000  0.0000  0.5000 [2 per cell]  6 Tm 2.74-2.93
C  0.1814  0.0000  0.0926 [4 per cell]  6 Tm 2.34-2.59

---

No. 22
VASP calculation (PBE-GGA) on UAsC after structural relaxation.

**DOS at the Fermi energy**: 1.44 states/eV/atom
**Formation enthalpy at 0 K**: 0.106 eV/f.u.

Unit cell a=3.8485 b=3.8485 c=4.0398 alpha=90.00 beta=90.00 gamma=120.00
Closest atoms and distances in Å follow each position.
Space group P-6m2 (No. 187)
Symmetry-distinct sites (fractional):
U  0.0000  0.0000  0.0000 [1 per cell]  3 C 2.22
As  0.6667  0.3333  0.5000 [1 per cell]  6 U 3.00, 6 C 3.00
C  0.3333  0.6667  0.0000 [1 per cell]  3 U 2.22

---

No. 23
VASP calculation (PBE-GGA) on U5As2C2 after structural relaxation.

**DOS at the Fermi energy**: 1.74 states/eV/atom
**Formation enthalpy at 0 K**: -2.341 eV/f.u.

Unit cell a=14.3652 b=6.7383 c=6.7231 alpha=90.00 beta=90.00 gamma=90.00
Closest atoms and distances in Å follow each position.
Space group Cmce (No. 64)
Symmetry-distinct sites (fractional):
U  0.0000  0.0000  0.0000 [4 per cell]  4 C 2.52
U  0.1136  0.1336  0.3652 [16 per cell]  3 C 2.53-2.59, 1 U 2.55
As  0.2033  0.0000  0.0000 [8 per cell]  7 U 2.92-2.93
C  0.0000  0.1634  0.6621 [8 per cell]  8 U 2.52-2.59